Entry from the Alexandria database: crystalline VBi2BAs at its relaxed geometry (GGA-PBE).

Calculated total energy (eV/atom): -4.1821
DFT formation energy (eV per atom): 1.46

Cell: 5.6000 5.6000 4.6522 Å, 90.00 90.00 90.00°
Each line ends with the local moment (μB).
Fractional positions:
B 0.5000 0.5000 0.5000  -0.02
Bi 0.5000 0.0000 0.0000  -0.07
Bi 0.0000 0.5000 0.0000  -0.07
V 0.0000 0.0000 0.5000  2.39
As 0.0000 0.0000 0.0000  -0.07

---

Entry from the Alexandria database: crystalline La8NiPd2 at its relaxed geometry (GGA-PBE).

Calculated total energy (eV/atom): -5.3406
DFT formation energy (eV per atom): -0.29

Cell: 6.5564 8.9706 8.9706 Å, 127.07 105.84 105.84°
Fractional positions:
La 0.9865 0.7396 0.1303
La 0.6521 0.4454 0.1853
La 0.0942 0.2574 0.2574
La 0.7898 0.6994 0.6994
La 0.9865 0.1303 0.7396
La 0.3691 0.9006 0.6684
La 0.3691 0.6684 0.9006
La 0.6521 0.1853 0.4454
Pd 0.3944 0.2773 0.6765
Pd 0.3944 0.6765 0.2773
Ni 0.3114 0.0538 0.0538

---

Entry from the Alexandria database: crystalline Ac8Pm6Pr at its relaxed geometry (GGA-PBE).

Calculated total energy (eV/atom): -4.1803
DFT formation energy (eV per atom): 0.23

Cell: 9.2578 9.2578 9.2578 Å, 66.52 66.52 66.52°
Fractional positions:
Ac 0.2678 0.2678 0.2678
Ac 0.5878 0.8620 0.1786
Ac 0.4122 0.1380 0.8214
Ac 0.7322 0.7322 0.7322
Ac 0.1380 0.8214 0.4122
Ac 0.8620 0.1786 0.5878
Ac 0.1786 0.5878 0.8620
Ac 0.8214 0.4122 0.1380
Pm 0.9383 0.6281 0.3214
Pm 0.6281 0.3214 0.9383
Pm 0.3719 0.6786 0.0617
Pm 0.3214 0.9383 0.6281
Pm 0.0617 0.3719 0.6786
Pm 0.6786 0.0617 0.3719
Pr 0.0000 0.0000 0.0000

---

Entry from the Alexandria database: crystalline NaEuCd2 at its relaxed geometry (GGA-PBE).

Calculated total energy (eV/atom): -3.5512
DFT formation energy (eV per atom): -0.20
Energy above the lowest structure with this stoichiometry (meV/atom): 0.0

Cell: 3.8360 3.8360 7.7417 Å, 90.00 90.00 90.00°
Each line ends with the local moment (μB).
Fractional positions:
Cd 0.0000 0.0000 0.7656  0.01
Cd 0.0000 0.0000 0.2344  0.01
Na 0.5000 0.5000 0.0000  0.00
Eu 0.5000 0.5000 0.5000  6.90

---

Entry from the Alexandria database: crystalline Tl2CdIn7Hg2 at its relaxed geometry (GGA-PBE).

Calculated total energy (eV/atom): -2.0593
DFT formation energy (eV per atom): 0.06

Cell: 3.2745 7.2709 15.0029 Å, 104.02 96.27 90.00°
Fractional positions:
In 0.8695 0.1254 0.7389
In 0.1305 0.3864 0.2611
In 0.5000 0.6407 0.0000
In 0.4400 0.9396 0.8801
In 0.5600 0.0596 0.1199
In 0.7113 0.6925 0.4226
In 0.2887 0.2699 0.5774
Cd 0.0000 0.2878 0.0000
Tl 0.6892 0.1163 0.3783
Tl 0.3108 0.7380 0.6217
Hg 0.6067 0.7284 0.2134
Hg 0.3933 0.5150 0.7866

---

Entry from the Alexandria database: crystalline CeNdTlIn at its relaxed geometry (GGA-PBE).

Calculated total energy (eV/atom): -4.2956
DFT formation energy (eV per atom): -0.34

Cell: 4.5439 5.0473 5.0489 Å, 90.00 90.00 90.00°
Each line ends with the local moment (μB).
Fractional positions:
In 0.0000 0.0000 0.0000  0.00
Nd 0.5000 0.0000 0.5000  0.18
Tl 0.0000 0.5000 0.5000  0.00
Ce 0.5000 0.5000 0.0000  0.91

---

Among the records above, which one has the lowest calculated total energy?
La8NiPd2